No. 1
VASP calculation (PBE+U) on a relaxed structure of VCrN2O.

## Properties
Crystal system = tetragonal

CIF file:
```
data_VCrN2O
_symmetry_space_group_name_H-M 'P 4/m m m'
_symmetry_Int_Tables_number 123
_symmetry_space_group_name_Hall '-P 4 2'
_cell_length_a 3.708
_cell_length_b 3.708
_cell_length_c 3.955
_cell_angle_alpha 90.00
_cell_angle_beta 90.00
_cell_angle_gamma 90.00
loop_
_atom_site_label
_atom_site_fract_x
_atom_site_fract_y
_atom_site_fract_z
_atom_site_occupancy
V1 0.000 0.000 0.000 1
Cr1 0.500 0.500 0.500 1
N1 0.000 0.500 0.500 1
O1 0.500 0.500 0.000 1
```


No. 2
VASP calculation (PBE+U) on a relaxed structure of VCrN2O.

## Properties
Crystal system = tetragonal

CIF file:
```
data_VCrN2O
_symmetry_space_group_name_H-M 'P 4/m m m'
_symmetry_Int_Tables_number 123
_symmetry_space_group_name_Hall '-P 4 2'
_cell_length_a 3.865
_cell_length_b 3.865
_cell_length_c 3.714
_cell_angle_alpha 90.00
_cell_angle_beta 90.00
_cell_angle_gamma 90.00
loop_
_atom_site_label
_atom_site_fract_x
_atom_site_fract_y
_atom_site_fract_z
_atom_site_occupancy
V1 0.000 0.000 0.000 1
Cr1 0.500 0.500 0.500 1
N1 0.000 0.500 0.000 1
O1 0.000 0.000 0.500 1
```


No. 3
VASP calculation (PBE+U) on a relaxed structure of CrWN2O.

## Properties
Crystal system = tetragonal

CIF file:
```
data_CrWN2O
_symmetry_space_group_name_H-M 'P 4/m m m'
_symmetry_Int_Tables_number 123
_symmetry_space_group_name_Hall '-P 4 2'
_cell_length_a 4.005
_cell_length_b 4.005
_cell_length_c 3.888
_cell_angle_alpha 90.00
_cell_angle_beta 90.00
_cell_angle_gamma 90.00
loop_
_atom_site_label
_atom_site_fract_x
_atom_site_fract_y
_atom_site_fract_z
_atom_site_occupancy
Cr1 0.000 0.000 0.000 1
W1 0.500 0.500 0.500 1
N1 0.000 0.500 0.500 1
O1 0.500 0.500 0.000 1
```


No. 4
VASP calculation (PBE+U) on a relaxed structure of CrWN2O.

## Properties
Crystal system = tetragonal

CIF file:
```
data_CrWN2O
_symmetry_space_group_name_H-M 'P 4/m m m'
_symmetry_Int_Tables_number 123
_symmetry_space_group_name_Hall '-P 4 2'
_cell_length_a 3.956
_cell_length_b 3.956
_cell_length_c 3.444
_cell_angle_alpha 90.00
_cell_angle_beta 90.00
_cell_angle_gamma 90.00
loop_
_atom_site_label
_atom_site_fract_x
_atom_site_fract_y
_atom_site_fract_z
_atom_site_occupancy
Cr1 0.000 0.000 0.000 1
W1 0.500 0.500 0.500 1
N1 0.000 0.500 0.000 1
O1 0.000 0.000 0.500 1
```


No. 5
VASP calculation (PBE+U) on a relaxed structure of ZrCrNO2.

## Properties
Crystal system = tetragonal

CIF file:
```
data_ZrCrNO2
_symmetry_space_group_name_H-M 'P 4/m m m'
_symmetry_Int_Tables_number 123
_symmetry_space_group_name_Hall '-P 4 2'
_cell_length_a 4.106
_cell_length_b 4.106
_cell_length_c 4.358
_cell_angle_alpha 90.00
_cell_angle_beta 90.00
_cell_angle_gamma 90.00
loop_
_atom_site_label
_atom_site_fract_x
_atom_site_fract_y
_atom_site_fract_z
_atom_site_occupancy
Zr1 0.000 0.000 0.000 1
Cr1 0.500 0.500 0.500 1
N1 0.000 0.000 0.500 1
O1 0.000 0.500 0.000 1
```


No. 6
VASP calculation (PBE+U) on a relaxed structure of ZrCrNO2.

## Properties
Crystal system = tetragonal

CIF file:
```
data_ZrCrNO2
_symmetry_space_group_name_H-M 'P 4/m m m'
_symmetry_Int_Tables_number 123
_symmetry_space_group_name_Hall '-P 4 2'
_cell_length_a 3.728
_cell_length_b 3.728
_cell_length_c 3.935
_cell_angle_alpha 90.00
_cell_angle_beta 90.00
_cell_angle_gamma 90.00
loop_
_atom_site_label
_atom_site_fract_x
_atom_site_fract_y
_atom_site_fract_z
_atom_site_occupancy
Zr1 0.000 0.000 0.000 1
Cr1 0.500 0.500 0.500 1
N1 0.500 0.500 0.000 1
O1 0.000 0.500 0.500 1
```


Raw total energy, record by record: -35.259; -36.245; -37.089; -33.610; -39.645; -40.588 eV/cell
M_tot, record by record: 3.06; 3.05; 4.05; 0.03; 2.99; 2.97 μB per cell